# 1
3
Lattice="2.570 0.000 0.000 -1.285 2.226 0.000 0.000 0.000 6.152" Properties=species:S:1:pos:R:3 comment="CoNiRh, optimized geometry, DFT GGA-PBEsol" volume_a3_per_atom=11.73 e_above_lowest_polymorph_mev_per_atom=18 pbc="T T T"
Co 0.000 0.000 0.000
Ni 0.000 1.484 4.214
Rh 1.285 0.742 2.081

# 2
6
Lattice="2.948 0.000 0.000 0.000 2.948 0.000 0.000 0.000 8.080" Properties=species:S:1:pos:R:3 comment="CoNiRh, optimized geometry, DFT GGA-PBEsol" volume_a3_per_atom=11.70 e_above_lowest_polymorph_mev_per_atom=97 pbc="T T T"
Co 0.000 0.000 0.000
Co 1.474 1.474 4.040
Ni 0.000 0.000 5.208
Ni 1.474 1.474 1.168
Rh 0.000 0.000 2.605
Rh 1.474 1.474 6.645

# 3
8
Lattice="3.567 0.000 0.000 0.000 3.567 0.000 0.000 0.000 7.138" Properties=species:S:1:pos:R:3 comment="Co2NiRh, optimized geometry, DFT GGA-PBEsol" volume_a3_per_atom=11.35 pbc="T T T"
Co 0.000 1.783 1.784
Co 0.000 1.783 5.353
Co 1.783 0.000 1.784
Co 1.783 0.000 5.353
Ni 0.000 0.000 0.000
Ni 1.783 1.783 3.569
Rh 0.000 0.000 3.569
Rh 1.783 1.783 0.000

# 4
4
Lattice="2.539 0.000 0.000 0.000 2.539 0.000 0.000 0.000 7.043" Properties=species:S:1:pos:R:3 comment="Co2NiRh, optimized geometry, DFT GGA-PBEsol" volume_a3_per_atom=11.35 pbc="T T T"
Co 0.000 0.000 1.676
Co 0.000 0.000 5.366
Ni 1.270 1.270 0.000
Rh 1.270 1.270 3.521

# 5
8
Lattice="3.577 0.000 0.000 0.000 3.577 0.000 0.000 0.000 7.091" Properties=species:S:1:pos:R:3 comment="Co2NiRh, optimized geometry, DFT GGA-PBEsol" volume_a3_per_atom=11.34 pbc="T T T"
Co 0.000 0.000 0.000
Co 0.000 1.789 1.773
Co 1.789 0.000 5.318
Co 1.789 1.789 3.546
Ni 0.000 1.789 5.318
Ni 1.789 0.000 1.773
Rh 0.000 0.000 3.546
Rh 1.789 1.789 0.000

# 6
8
Lattice="5.033 0.000 0.000 0.000 7.106 0.000 0.000 0.000 2.537" Properties=species:S:1:pos:R:3 comment="Co2NiRh, optimized geometry, DFT GGA-PBEsol" volume_a3_per_atom=11.34 pbc="T T T"
Co 1.258 1.776 0.000
Co 1.258 5.329 0.000
Co 3.775 1.776 0.000
Co 3.775 5.329 0.000
Ni 0.000 0.000 1.268
Ni 2.517 3.553 1.268
Rh 0.000 3.553 1.268
Rh 2.517 0.000 1.268

# 7
8
Lattice="3.893 0.000 0.000 0.000 2.522 0.000 0.000 0.000 9.324" Properties=species:S:1:pos:R:3 comment="Co2NiRh, optimized geometry, DFT GGA-PBEsol" volume_a3_per_atom=11.44 pbc="T T T"
Co 0.000 0.000 0.000
Co 0.000 1.261 4.662
Co 1.946 0.000 1.214
Co 1.946 1.261 5.876
Ni 1.946 0.000 3.677
Ni 1.946 1.261 8.339
Rh 0.000 0.000 6.915
Rh 0.000 1.261 2.253

# 8
12
Lattice="2.546 0.000 0.000 -1.273 2.205 0.000 0.000 0.000 24.459" Properties=species:S:1:pos:R:3 comment="Co2NiRh, optimized geometry, DFT GGA-PBEsol" volume_a3_per_atom=11.44 pbc="T T T"
Co 0.000 0.000 6.039
Co 0.000 0.000 18.420
Co 0.000 1.470 10.267
Co 0.000 1.470 22.346
Co 1.273 0.735 2.114
Co 1.273 0.735 14.192
Ni 0.000 0.000 12.230
Ni 0.000 1.470 4.077
Ni 1.273 0.735 20.383
Rh 0.000 0.000 0.000
Rh 0.000 1.470 16.306
Rh 1.273 0.735 8.153

Going through the records in order, we get DFT formation energy values of 0.230; 0.467; 0.187; 0.292; 0.189; 0.235; 0.372; 0.359 eV per formula unit.
Going through the records in order, we get VASP energy values of -7.268; -7.189; -7.396; -7.370; -7.395; -7.384; -7.350; -7.353 eV/atom.